1.
This record from Alexandria via LeMat-Bulk describes YAl2Fe at its PBEsol-relaxed geometry. The functional is SCAN.

symmetry: R3m (160)
E_form: -0.21 eV/atom
N(E_F): 2.9 states/eV/cell

Cell lengths 4.1866, 4.1860, 5.4267 Å; angles 67.34, 67.31, 60.00 degrees
Closest atoms and distances in Å follow each position.
Element x y z (fractional)
Al 0.2224 0.2224 0.3328  3 Fe 2.42, 3 Al 2.61
Al 0.9561 0.9560 0.1319  3 Fe 2.55, 3 Al 2.61
Y 0.7544 0.7544 0.7368  1 Fe 2.73, 1 Al 2.94
Fe 0.5671 0.5672 0.2985  6 Al 2.42-2.55

2.
This record from Alexandria via LeMat-Bulk describes LaAgHg at its PBEsol-relaxed geometry. The functional is SCAN.

symmetry: F-43m (216)
E_form: -0.30 eV/atom
N(E_F): 3.7 states/eV/cell

Cell lengths 4.9106, 4.9106, 4.9106 Å; angles 60.00, 60.00, 60.00 degrees
Closest atoms and distances in Å follow each position.
Element x y z (fractional)
Hg 0.2500 0.2500 0.2500  4 Ag 3.01, 4 La 3.01
La 0.0000 0.0000 0.0000  4 Hg 3.01
Ag 0.5000 0.5000 0.5000  4 Hg 3.01

3.
This record from Alexandria via LeMat-Bulk describes NaTiCr3 at its PBEsol-relaxed geometry. The functional is SCAN.

symmetry: Pm-3m (221)
E_form: 1.60 eV/atom
N(E_F): 1.6 states/eV/cell

Cell lengths 4.6018, 4.6018, 4.6018 Å; angles 90.00, 90.00, 90.00 degrees
Closest atoms and distances in Å follow each position.
Element x y z (fractional)
Cr 0.0000 0.0000 0.5000  2 Na 2.30
Cr 0.5000 0.0000 0.0000  2 Na 2.30
Cr 0.0000 0.5000 0.0000  2 Na 2.30
Na 0.0000 0.0000 0.0000  6 Cr 2.30
Ti 0.5000 0.5000 0.5000  12 Cr 3.25

4.
This record from Alexandria via LeMat-Bulk describes InAsN2O at its PBEsol-relaxed geometry. The functional is SCAN.

symmetry: P4/mmm (123)
E_tot: -15.23 eV/atom
N(E_F): 1.6 states/eV/cell

Cell lengths 3.6611, 3.8303, 3.8303 Å; angles 90.00, 90.00, 90.00 degrees
Closest atoms and distances in Å follow each position.
Element x y z (fractional)
In 0.5000 0.5000 0.5000  8 N 2.65, 4 O 2.71
N 0.0000 0.5000 0.0000  2 As 1.92
N 0.0000 0.0000 0.5000  2 As 1.92
O 0.5000 0.0000 0.0000  2 As 1.83
As 0.0000 0.0000 0.0000  2 O 1.83, 4 N 1.92

5.
This record from Alexandria via LeMat-Bulk describes Mn2IrOs at its PBEsol-relaxed geometry. The functional is SCAN.

symmetry: Pmmm (47)
E_form: -0.12 eV/atom
E above lowest polymorph: 0.243 eV per atom
N(E_F): 4.2 states/eV/cell

Cell lengths 2.6174, 3.6182, 5.2455 Å; angles 90.00, 90.00, 90.00 degrees
Closest atoms and distances in Å follow each position.
Element x y z (fractional)
Mn 0.0000 0.0000 0.2472  4 Os 2.58, 4 Mn 2.59-2.65, 4 Ir 2.60
Mn 0.0000 0.0000 0.7528  4 Os 2.58, 4 Mn 2.59-2.65, 4 Ir 2.60
Os 0.5000 0.5000 0.0000  8 Mn 2.58, 2 Os 2.62, 2 Ir 2.62
Ir 0.5000 0.5000 0.5000  8 Mn 2.60, 2 Ir 2.62, 2 Os 2.62

6.
This record from Alexandria via LeMat-Bulk describes SiAs2Os at its PBEsol-relaxed geometry. The functional is SCAN.

symmetry: Cmm2 (35)
E_tot: -30.11 eV/atom
N(E_F): 2.9 states/eV/cell

Cell lengths 2.8580, 2.8580, 9.1982 Å; angles 90.00, 90.00, 119.43 degrees
Closest atoms and distances in Å follow each position.
Element x y z (fractional)
Os 0.0000 0.0000 0.4840  2 Si 2.41, 2 As 2.56
Si 0.5000 0.5000 0.2734  2 Os 2.41, 2 As 2.67
As 0.0000 0.0000 0.0294  2 Si 2.67, 6 As 2.86-2.88
As 0.5000 0.5000 0.7133  2 Os 2.56, 4 As 2.86

7.
This record from Alexandria via LeMat-Bulk describes HgPb2 at its PBEsol-relaxed geometry. The functional is SCAN.

symmetry: Immm (71)
E_form: 0.02 eV/atom
E above lowest polymorph: 0.000 eV per atom
N(E_F): 1.3 states/eV/cell

Cell lengths 3.4148, 4.6495, 5.9120 Å; angles 113.16, 106.79, 90.00 degrees
Closest atoms and distances in Å follow each position.
Element x y z (fractional)
Hg 0.0000 0.0000 0.0000  10 Pb 3.34-3.48, 2 Hg 3.41
Pb 0.3374 0.3374 0.6749  5 Hg 3.34-3.48, 7 Pb 3.36-3.41
Pb 0.6626 0.6626 0.3251  5 Hg 3.34-3.48, 7 Pb 3.36-3.41

8.
This record from Alexandria via LeMat-Bulk describes MnCu2Re at its PBEsol-relaxed geometry. The functional is SCAN.

symmetry: P4/mmm (123)
E_form: 0.16 eV/atom
E above lowest polymorph: 0.026 eV per atom
N(E_F): 1.6 states/eV/cell

Cell lengths 2.5819, 2.5819, 7.5167 Å; angles 90.00, 90.00, 90.00 degrees
Closest atoms and distances in Å follow each position.
Element x y z (fractional)
Cu 0.0000 0.0000 0.7599  4 Mn 2.57, 4 Cu 2.58, 4 Re 2.67
Cu 0.0000 0.0000 0.2401  4 Mn 2.57, 4 Cu 2.58, 4 Re 2.67
Re 0.5000 0.5000 0.5000  4 Re 2.58, 8 Cu 2.67
Mn 0.5000 0.5000 0.0000  8 Cu 2.57, 4 Mn 2.58